one:
Computed, not measured: crystalline ZnCoAs2Br at its relaxed geometry at the PBE-GGA level of DFT.

Cell lengths 4.7577, 4.7577, 5.3644 Å; angles 90.00, 90.00, 90.00 degrees
Atoms (fractional coordinates):
As (0.0000, 0.5000, 0.0000)
As (0.5000, 0.0000, 0.0000)
Co (0.5000, 0.5000, 0.5000)
Zn (0.0000, 0.0000, 0.0000)
Br (0.0000, 0.0000, 0.5000)

Computed properties:
The density of states at the Fermi level is 4.15 states/eV per cell. As for the space group: No. 123. For the calculated volume, the calculation gives 121 Å³/cell.

***

two:
Computed, not measured: crystalline ZnCoAs2Br at its relaxed geometry at the PBE-GGA level of DFT.

Cell lengths 4.4990, 4.4990, 5.3709 Å; angles 90.00, 90.00, 90.00 degrees
Atoms (fractional coordinates):
As (0.0000, 0.5000, 0.0000)
As (0.5000, 0.0000, 0.0000)
Co (0.0000, 0.0000, 0.0000)
Zn (0.5000, 0.5000, 0.5000)
Br (0.0000, 0.0000, 0.5000)

Computed properties:
The density of states at the Fermi level is 4.78 states/eV per cell. As for the space group: No. 123. For the calculated volume, the calculation gives 109 Å³/cell.

***

Computed stability ranking, most favorable first: two, one

***

one:
Computed, not measured: crystalline ZrCoAsBr2 at its relaxed geometry at the PBE-GGA level of DFT.

Cell lengths 4.6750, 4.6750, 4.8233 Å; angles 90.00, 90.00, 90.00 degrees
Atoms (fractional coordinates):
As (0.0000, 0.0000, 0.5000)
Co (0.0000, 0.0000, 0.0000)
Br (0.0000, 0.5000, 0.0000)
Br (0.5000, 0.0000, 0.0000)
Zr (0.5000, 0.5000, 0.5000)

Computed properties:
The density of states at the Fermi level is 4.50 states/eV per cell. As for the space group: No. 123. For the calculated volume, the calculation gives 105 Å³/cell.

***

two:
Computed, not measured: crystalline ZrCoAsBr2 at its relaxed geometry at the PBE-GGA level of DFT.

Cell lengths 5.2378, 5.2378, 5.3859 Å; angles 90.00, 90.00, 90.00 degrees
Atoms (fractional coordinates):
As (0.0000, 0.0000, 0.5000)
Co (0.5000, 0.5000, 0.5000)
Br (0.0000, 0.5000, 0.0000)
Br (0.5000, 0.0000, 0.0000)
Zr (0.0000, 0.0000, 0.0000)

Computed properties:
The density of states at the Fermi level is 7.13 states/eV per cell. As for the space group: No. 123. For the calculated volume, the calculation gives 148 Å³/cell.

***

Computed stability ranking, most favorable first: one, two

***

one:
Computed, not measured: crystalline ZrCoAs2Br at its relaxed geometry at the PBE-GGA level of DFT.

Cell lengths 4.5653, 4.5653, 4.8155 Å; angles 90.00, 90.00, 90.00 degrees
Atoms (fractional coordinates):
As (0.0000, 0.5000, 0.0000)
As (0.5000, 0.0000, 0.0000)
Co (0.0000, 0.0000, 0.0000)
Br (0.0000, 0.0000, 0.5000)
Zr (0.5000, 0.5000, 0.5000)

Computed properties:
The density of states at the Fermi level is 5.12 states/eV per cell. As for the space group: No. 123. For the calculated volume, the calculation gives 100 Å³/cell.

***

two:
Computed, not measured: crystalline ZrCoAs2Br at its relaxed geometry at the PBE-GGA level of DFT.

Cell lengths 5.2290, 5.2290, 5.2387 Å; angles 90.00, 90.00, 90.00 degrees
Atoms (fractional coordinates):
As (0.0000, 0.5000, 0.0000)
As (0.5000, 0.0000, 0.0000)
Co (0.5000, 0.5000, 0.5000)
Br (0.0000, 0.0000, 0.5000)
Zr (0.0000, 0.0000, 0.0000)

Computed properties:
The density of states at the Fermi level is 8.30 states/eV per cell. As for the space group: No. 123. For the calculated volume, the calculation gives 143 Å³/cell.

***

Computed stability ranking, most favorable first: one, two

***

one:
Computed, not measured: crystalline CrAs2Br at its relaxed geometry at the PBE-GGA level of DFT.

Cell lengths 4.6535, 4.6535, 4.6535 Å; angles 60.00, 60.00, 60.00 degrees
Atoms (fractional coordinates):
Cr (0.0000, 0.0000, 0.0000)
As (0.2500, 0.2500, 0.2500)
As (0.7500, 0.7500, 0.7500)
Br (0.5000, 0.5000, 0.5000)

Computed properties:
The density of states at the Fermi level is 10.03 states/eV per cell. As for the space group: No. 225. For the calculated volume, the calculation gives 71 Å³/cell.

***

two:
Computed, not measured: crystalline CrAs2Br at its relaxed geometry at the PBE-GGA level of DFT.

Cell lengths 8.1234, 8.1234, 8.1234 Å; angles 23.46, 23.46, 23.46 degrees
Atoms (fractional coordinates):
As (0.0184, 0.0184, 0.0184)
As (0.4816, 0.4816, 0.4816)
Br (0.2500, 0.2500, 0.2500)
Cr (0.7500, 0.7500, 0.7500)

Computed properties:
The density of states at the Fermi level is 1.83 states/eV per cell. As for the space group: No. 166. For the calculated volume, the calculation gives 75 Å³/cell.

***

three:
Computed, not measured: crystalline CrAs2Br at its relaxed geometry at the PBE-GGA level of DFT.

Cell lengths 4.0288, 4.0288, 8.6649 Å; angles 90.00, 90.00, 127.34 degrees
Atoms (fractional coordinates):
As (0.0000, 0.0000, 0.9852)
As (0.5000, 0.5000, 0.1712)
Br (0.0000, 0.0000, 0.5688)
Cr (0.5000, 0.5000, 0.7749)

Computed properties:
The density of states at the Fermi level is 2.34 states/eV per cell. As for the space group: No. 35. For the calculated volume, the calculation gives 112 Å³/cell.

***

four:
Computed, not measured: crystalline CrAs2Br at its relaxed geometry at the PBE-GGA level of DFT.

Cell lengths 3.4703, 4.7683, 7.4302 Å; angles 99.93, 90.00, 90.00 degrees
Atoms (fractional coordinates):
As (0.0000, 0.9843, 0.1070)
As (0.5000, 0.2131, 0.9426)
Br (0.0000, 0.6002, 0.6054)
Cr (0.5000, 0.7024, 0.8450)

Computed properties:
The density of states at the Fermi level is 0.87 states/eV per cell. As for the space group: No. 6. For the calculated volume, the calculation gives 121 Å³/cell.

***

Computed stability ranking, most favorable first: four, two, three, one

***

one:
Computed, not measured: crystalline CrAs2Br at its relaxed geometry at the PBE-GGA level of DFT.

Cell lengths 4.8455, 4.8455, 4.8455 Å; angles 60.00, 60.00, 60.00 degrees
Atoms (fractional coordinates):
As (0.0000, 0.0000, 0.0000)
As (0.2500, 0.2500, 0.2500)
Br (0.5000, 0.5000, 0.5000)
Cr (0.7500, 0.7500, 0.7500)

Computed properties:
The density of states at the Fermi level is 2.96 states/eV per cell. As for the space group: No. 216. For the calculated volume, the calculation gives 80 Å³/cell.

***

two:
Computed, not measured: crystalline CrAs2Br at its relaxed geometry at the PBE-GGA level of DFT.

Cell lengths 4.0886, 4.0886, 7.8993 Å; angles 106.94, 106.94, 48.76 degrees
Atoms (fractional coordinates):
As (0.8966, 0.8966, 0.0971)
As (0.6034, 0.6034, 0.4029)
Br (0.7500, 0.7500, 0.7500)
Cr (0.2500, 0.2500, 0.2500)

Computed properties:
The density of states at the Fermi level is 2.27 states/eV per cell. As for the space group: No. 12. For the calculated volume, the calculation gives 94 Å³/cell.

***

Computed stability ranking, most favorable first: two, one

***

one:
Computed, not measured: crystalline Cr2AsBr at its relaxed geometry at the PBE-GGA level of DFT.

Cell lengths 5.1420, 5.1420, 3.4218 Å; angles 72.96, 72.96, 87.97 degrees
Atoms (fractional coordinates):
As (0.5000, 0.0000, 0.5000)
Br (0.0000, 0.5000, 0.5000)
Cr (0.0000, 0.0000, 0.0000)
Cr (0.5000, 0.5000, 0.0000)

Computed properties:
The density of states at the Fermi level is 1.78 states/eV per cell. As for the space group: No. 12. For the calculated volume, the calculation gives 83 Å³/cell.

***

two:
Computed, not measured: crystalline Cr2AsBr at its relaxed geometry at the PBE-GGA level of DFT.

Cell lengths 6.6597, 6.6597, 6.3491 Å; angles 58.37, 58.37, 90.00 degrees
Atoms (fractional coordinates):
Cr (0.5958, 0.1250, 0.2500)
Cr (0.1542, 0.6250, 0.2500)
Cr (0.3750, 0.4042, 0.7500)
Cr (0.8750, 0.8458, 0.7500)
As (0.5000, 0.5000, 0.0000)
As (0.2500, 0.7500, 0.5000)
Br (0.0000, 0.0000, 0.0000)
Br (0.7500, 0.2500, 0.5000)

Computed properties:
The density of states at the Fermi level is 0.58 states/eV per cell. As for the space group: No. 122. For the calculated volume, the calculation gives 189 Å³/cell.

***

Computed stability ranking, most favorable first: two, one